[1]
A relaxed In2Fe2Co crystal. Source: Alexandria, functional PBE.

Calculated values
DOS at the Fermi energy = 0.87 states/eV per atom
Size of the total moment = 11.05 μB/cell
Crystal system = tetragonal
ΔH_f (0 K) = 0.289 eV per atom

Cell: 6.1333 6.1333 4.2044 Å, 90.00 90.00 90.00°
Site moments in Bohr magnetons follow the coordinates.
Element x y z (fractional)
Fe1 0.1351 0.3649 0.0000  2.06
Fe2 0.8649 0.6351 0.0000  2.07
In1 0.1754 0.6754 0.5000  -0.08
Co1 0.5000 0.5000 0.0000  1.66
Fe3 0.3649 0.8649 0.0000  2.06
In2 0.8246 0.3246 0.5000  -0.08
In3 0.6754 0.8246 0.5000  -0.08
Co2 0.0000 0.0000 0.0000  1.66
Fe4 0.6351 0.1351 0.0000  2.06
In4 0.3246 0.1754 0.5000  -0.08

[2]
A relaxed InFeCo2 crystal. Source: Alexandria, functional PBE.

Calculated values
DOS at the Fermi energy = 1.42 states/eV per atom
Size of the total moment = 11.24 μB/cell
Crystal system = tetragonal
ΔH_f (0 K) = 0.578 eV per atom

Cell: 3.7463 3.7463 9.0886 Å, 78.11 78.11 90.00°
Site moments in Bohr magnetons follow the coordinates.
Element x y z (fractional)
In1 0.0000 0.0000 0.0000  -0.09
Co1 0.5601 0.1250 0.2500  1.57
Fe1 0.2500 0.7500 0.5000  2.53
Fe2 0.5000 0.5000 0.0000  2.54
Co2 0.3750 0.4399 0.7500  1.62
Co3 0.1899 0.6250 0.2500  1.57
In2 0.7500 0.2500 0.5000  -0.09
Co4 0.8750 0.8101 0.7500  1.62

[3]
A relaxed InFe2Co crystal. Source: Alexandria, functional PBE.

Calculated values
DOS at the Fermi energy = 1.07 states/eV per atom
Size of the total moment = 6.06 μB/cell
Crystal system = tetragonal
ΔH_f (0 K) = 0.128 eV per atom

Cell: 3.0104 3.0104 6.0254 Å, 90.00 90.00 90.00°
Site moments in Bohr magnetons follow the coordinates.
Element x y z (fractional)
In1 0.0000 0.0000 0.5022  -0.08
Fe1 0.5000 0.5000 0.2122  2.23
Co1 0.5000 0.5000 0.7882  1.32
Fe2 0.0000 0.0000 0.9975  2.64

[4]
A relaxed In2FeCo crystal. Source: Alexandria, functional PBE.

Calculated values
DOS at the Fermi energy = 0.93 states/eV per atom
Size of the total moment = 3.36 μB/cell
Crystal system = tetragonal
ΔH_f (0 K) = 0.312 eV per atom

Cell: 5.0946 5.0946 5.0946 Å, 135.00 135.00 65.53°
Site moments in Bohr magnetons follow the coordinates.
Element x y z (fractional)
In1 0.0000 0.0000 0.0000  -0.07
Co1 0.5000 0.5000 0.0000  1.03
Fe1 0.7500 0.2500 0.5000  2.50
In2 0.2500 0.7500 0.5000  -0.07

[5]
A relaxed InFe2Co crystal. Source: Alexandria, functional PBE.

Calculated values
DOS at the Fermi energy = 2.29 states/eV per atom
Size of the total moment = 0.00 μB/cell
Crystal system = tetragonal
ΔH_f (0 K) = 0.807 eV per atom

Cell: 6.7265 6.7265 5.3703 Å, 51.23 51.23 90.00°
Element x y z (fractional)
Fe1 0.8750 0.8181 0.7500
Co1 0.2500 0.7500 0.5000
In1 0.7500 0.2500 0.5000
Fe2 0.3750 0.4319 0.7500
Fe3 0.1819 0.6250 0.2500
Fe4 0.5681 0.1250 0.2500
Co2 0.5000 0.5000 0.0000
In2 0.0000 0.0000 0.0000

[6]
A relaxed InFe2Co crystal. Source: Alexandria, functional PBE.

Calculated values
DOS at the Fermi energy = 0.89 states/eV per atom
Size of the total moment = 6.50 μB/cell
Crystal system = orthorhombic
ΔH_f (0 K) = 0.150 eV per atom

Cell: 4.9453 4.9453 4.1866 Å, 64.88 64.88 36.91°
Site moments in Bohr magnetons follow the coordinates.
Element x y z (fractional)
Fe1 0.9835 0.9835 0.0163  2.61
Co1 0.2500 0.2500 0.2500  1.46
In1 0.7500 0.7500 0.7500  -0.10
Fe2 0.5165 0.5165 0.4837  2.61

[7]
A relaxed InFe2Co crystal. Source: Alexandria, functional PBE.

Calculated values
DOS at the Fermi energy = 1.00 states/eV per atom
Size of the total moment = 6.62 μB/cell
Crystal system = orthorhombic
ΔH_f (0 K) = 0.183 eV per atom

Cell: 4.9010 4.9010 4.9010 Å, 142.54 128.60 65.31°
Site moments in Bohr magnetons follow the coordinates.
Element x y z (fractional)
In1 0.4988 0.4988 0.0000  -0.09
Fe1 0.9999 0.9999 0.0000  2.52
Co1 0.2352 0.7352 0.5000  1.62
Fe2 0.7662 0.2662 0.5000  2.63

[8]
A relaxed In2FeCo crystal. Source: Alexandria, functional PBE.

Calculated values
DOS at the Fermi energy = 0.90 states/eV per atom
Size of the total moment = 6.52 μB/cell
Crystal system = tetragonal
ΔH_f (0 K) = 0.605 eV per atom

Cell: 7.1582 7.1582 5.7884 Å, 51.81 51.81 90.00°
Site moments in Bohr magnetons follow the coordinates.
Element x y z (fractional)
In1 0.6389 0.1250 0.2500  -0.06
Fe1 0.2500 0.7500 0.5000  2.60
In2 0.8750 0.8889 0.7500  -0.06
In3 0.3750 0.3611 0.7500  -0.06
Fe2 0.5000 0.5000 0.0000  2.60
Co1 0.7500 0.2500 0.5000  0.79
Co2 0.0000 0.0000 0.0000  0.79
In4 0.1111 0.6250 0.2500  -0.06